## i
3
Lattice="0.000 3.827 3.827 3.827 0.000 3.827 3.827 3.827 0.000" Properties=species:S:1:pos:R:3 comment="BaInSe, optimized geometry, DFT PBE" space_group="F-43m, No. 216" total_magnetization_mub_per_atom=0.00 pbc="T T T"
Ba 0.000 0.000 0.000
In 3.827 3.827 3.827
Se 1.914 1.914 1.914

***

## ii
6
Lattice="11.084 0.000 0.000 0.000 3.141 3.170 0.000 -3.141 3.170" Properties=species:S:1:pos:R:3 comment="BaInSe, optimized geometry, DFT PBE" space_group="Amm2, No. 38" total_magnetization_mub_per_atom=0.00 pbc="T T T"
Ba 2.242 0.000 0.000
Ba 8.842 0.000 0.000
In 0.000 0.000 3.190
In 5.542 0.000 4.741
Se 3.227 0.000 3.119
Se 7.858 0.000 3.119

***

It is ii that is the most stable of them.

***

## i
72
Lattice="12.520 0.000 0.000 0.000 13.899 0.000 0.000 0.000 13.433" Properties=species:S:1:pos:R:3 comment="Ba2In2Se5, optimized geometry, DFT PBE" space_group="Pbca, No. 61" total_magnetization_mub_per_atom=0.00 pbc="T T T"
Ba 0.010 2.703 0.356
Ba 0.010 4.247 7.072
Ba 3.110 2.622 10.035
Ba 3.110 4.328 3.318
Ba 3.150 9.571 10.035
Ba 3.150 11.278 3.318
Ba 6.250 9.652 0.356
Ba 6.250 11.197 7.072
Ba 6.269 2.703 6.361
Ba 6.269 4.247 13.077
Ba 9.370 2.622 10.114
Ba 9.370 4.328 3.398
Ba 9.410 9.571 10.114
Ba 9.410 11.278 3.398
Ba 12.510 9.652 6.361
Ba 12.510 11.197 13.077
In 0.738 7.671 2.677
In 0.738 13.179 9.393
In 2.828 0.414 6.264
In 2.828 6.536 12.980
In 3.432 7.363 6.264
In 3.432 13.486 12.980
In 5.522 0.721 2.677
In 5.522 6.229 9.393
In 6.997 7.671 4.039
In 6.997 13.179 10.756
In 9.088 0.414 0.453
In 9.088 6.536 7.169
In 9.692 7.363 0.453
In 9.692 13.486 7.169
In 11.782 0.721 4.039
In 11.782 6.229 10.756
Se 0.058 10.125 2.976
Se 0.058 10.724 9.692
Se 0.873 7.936 11.944
Se 0.873 12.913 5.228
Se 1.140 0.335 11.823
Se 1.140 6.615 5.106
Se 2.987 0.562 1.958
Se 2.994 2.974 6.576
Se 2.994 3.975 13.293
Se 2.987 6.388 8.675
Se 3.273 7.512 1.958
Se 3.266 9.924 6.576
Se 3.266 10.925 13.293
Se 3.273 13.337 8.675
Se 5.120 7.285 11.823
Se 5.120 13.564 5.106
Se 5.387 0.986 11.944
Se 5.387 5.964 5.228
Se 6.202 3.175 2.976
Se 6.202 3.775 9.692
Se 6.318 10.125 3.741
Se 6.318 10.724 10.457
Se 7.133 7.936 8.205
Se 7.133 12.913 1.488
Se 7.400 0.335 8.326
Se 7.400 6.615 1.610
Se 9.247 0.562 4.758
Se 9.254 2.974 0.140
Se 9.254 3.975 6.856
Se 9.247 6.388 11.475
Se 9.533 7.512 4.758
Se 9.526 9.924 0.140
Se 9.526 10.925 6.856
Se 9.533 13.337 11.475
Se 11.380 7.285 8.326
Se 11.380 13.564 1.610
Se 11.647 0.986 8.205
Se 11.647 5.964 1.488
Se 12.462 3.175 3.741
Se 12.462 3.775 10.457

***

## ii
9
Lattice="7.130 -2.863 0.000 7.130 2.863 0.000 -2.877 0.000 7.145" Properties=species:S:1:pos:R:3 comment="Ba2In2Se5, optimized geometry, DFT PBE" space_group="C2/m, No. 12" total_magnetization_mub_per_atom=0.00 pbc="T T T"
Ba 0.707 0.000 2.127
Ba 10.677 0.000 5.017
In 4.582 0.000 0.989
In 6.802 0.000 6.155
Se -0.330 0.000 6.399
Se 3.734 0.000 3.409
Se 7.130 0.000 0.000
Se 7.650 0.000 3.735
Se 11.714 0.000 0.746

***

It is i that is the most stable of them.

***

## i
5
Lattice="5.363 0.000 0.000 0.000 5.363 0.000 0.000 0.000 5.363" Properties=species:S:1:pos:R:3 comment="BaInSe3, optimized geometry, DFT PBE" space_group="Pm-3m, No. 221" total_magnetization_mub_per_atom=0.00 pbc="T T T"
Ba 0.000 0.000 0.000
In 2.681 2.681 2.681
Se 0.000 2.681 2.681
Se 2.681 0.000 2.681
Se 2.681 2.681 0.000

***

## ii
5
Lattice="6.212 0.000 0.000 0.000 6.212 0.000 0.000 0.000 6.212" Properties=species:S:1:pos:R:3 comment="BaInSe3, optimized geometry, DFT PBE" space_group="Pm-3m, No. 221" total_magnetization_mub_per_atom=0.60 pbc="T T T"
Ba 0.000 0.000 0.000
In 3.106 3.106 3.106
Se 0.000 0.000 3.106
Se 0.000 3.106 0.000
Se 3.106 0.000 0.000

***

## iii
10
Lattice="6.603 -3.174 0.000 6.603 3.174 0.000 -1.581 0.000 7.189" Properties=species:S:1:pos:R:3 comment="BaInSe3, optimized geometry, DFT PBE" space_group="C2/m, No. 12" total_magnetization_mub_per_atom=0.00 pbc="T T T"
Ba 1.950 0.000 1.685
Ba 9.675 0.000 5.504
In 6.603 0.000 0.000
In 5.813 0.000 3.595
Se 4.979 1.716 1.382
Se 6.647 1.716 5.807
Se 3.429 0.000 4.718
Se 8.197 0.000 2.471
Se 4.979 -1.716 1.382
Se 6.647 -1.716 5.807

***

It is iii that is the most stable of them.

***

## i
4
Lattice="3.991 0.000 0.000 0.000 3.991 0.000 0.000 0.000 9.089" Properties=species:S:1:pos:R:3 comment="Ba2InSe, optimized geometry, DFT PBE" space_group="P4/mmm, No. 123" total_magnetization_mub_per_atom=0.00 pbc="T T T"
Ba 0.000 0.000 1.965
Ba 0.000 0.000 7.125
In 1.995 1.995 4.545
Se 1.995 1.995 0.000

***

## ii
4
Lattice="-2.077 2.166 9.146 2.077 -2.166 9.146 2.077 2.166 -9.146" Properties=species:S:1:pos:R:3 comment="Ba2InSe, optimized geometry, DFT PBE" space_group="Imm2, No. 44" total_magnetization_mub_per_atom=0.11 pbc="T T T"
Ba 0.000 0.000 0.000
Ba 0.000 2.166 3.982
In 2.077 0.000 6.057
Se 0.000 0.000 10.528

***

## iii
8
Lattice="-4.479 4.479 4.476 4.479 -4.479 4.476 4.479 4.479 -4.476" Properties=species:S:1:pos:R:3 comment="Ba2InSe, optimized geometry, DFT PBE" space_group="I-42d, No. 122" total_magnetization_mub_per_atom=0.00 pbc="T T T"
Ba 2.240 1.892 -1.119
Ba 2.587 -2.240 5.595
Ba 2.240 2.587 3.357
Ba 1.892 6.719 1.119
In 4.479 0.000 2.238
In 0.000 0.000 4.476
Se 0.000 0.000 0.000
Se 0.000 4.479 2.238

***

It is i that is the most stable of them.

***

## i
5
Lattice="-3.422 3.422 4.292 3.422 -3.422 4.292 3.422 3.422 -4.292" Properties=species:S:1:pos:R:3 comment="Ba2In2Se, optimized geometry, DFT PBE" space_group="I4/mmm, No. 139" total_magnetization_mub_per_atom=0.00 pbc="T T T"
Ba 3.422 0.000 2.146
Ba 0.000 3.422 2.146
In 0.000 0.000 1.356
In 0.000 0.000 7.228
Se 0.000 0.000 4.292

***

## ii
10
Lattice="8.386 0.000 0.000 0.000 8.386 0.000 0.000 0.000 5.218" Properties=species:S:1:pos:R:3 comment="Ba2In2Se, optimized geometry, DFT PBE" space_group="P4/mbm, No. 127" total_magnetization_mub_per_atom=0.00 pbc="T T T"
Ba 1.453 2.740 0.000
Ba 2.740 6.933 0.000
Ba 5.646 1.453 0.000
Ba 6.933 5.646 0.000
In 1.086 5.279 2.609
In 3.107 1.086 2.609
In 5.279 7.301 2.609
In 7.301 3.107 2.609
Se 0.000 0.000 2.609
Se 4.193 4.193 2.609

***

It is ii that is the most stable of them.

***

## i
5
Lattice="6.356 0.000 0.000 0.000 6.356 0.000 0.000 0.000 6.356" Properties=species:S:1:pos:R:3 comment="Ba3InSi, optimized geometry, DFT PBE" space_group="Pm-3m, No. 221" total_magnetization_mub_per_atom=0.53 pbc="T T T"
Ba 0.000 0.000 3.178
Ba 0.000 3.178 0.000
Ba 3.178 0.000 0.000
In 3.178 3.178 3.178
Si 0.000 0.000 0.000

***

## ii
10
Lattice="4.152 0.000 0.000 -2.069 9.911 0.000 -0.002 -0.697 10.140" Properties=species:S:1:pos:R:3 comment="Ba3InSi, optimized geometry, DFT PBE" space_group="P1, No. 1" total_magnetization_mub_per_atom=0.01 pbc="T T T"
Ba 0.000 0.000 0.000
Ba 0.000 1.659 3.686
Ba -0.006 5.189 9.961
Ba -0.007 8.305 6.225
Ba 2.069 2.555 7.598
Ba 2.073 5.680 3.855
In 0.010 8.562 2.620
In 2.076 3.005 1.065
Si -0.006 4.913 6.439
Si 2.070 5.944 7.375

***

It is ii that is the most stable of them.